Record 1
Computed, not measured: a relaxed structure of In2TcCl at the GGA-PBE level of DFT.

POSCAR file:
```
In2TcCl
1.0
6.379 0.005 0.001
3.584 5.276 -0.001
-4.265 -3.992 2.561
Cl In Tc
1 2 1
direct
0.317 0.817 0.500 Cl
0.990 0.990 0.000 In
0.704 0.204 0.500 In
0.489 0.489 0.000 Tc
```

Values from the calculation:
As for the space group: No. 44. The relative energy among the computed polymorphs comes out at 171 meV/atom. The energy relative to the elements, uncorrected comes out at 0.5 eV/f.u.


Record 2
Computed, not measured: a relaxed structure of In2TcCl at the GGA-PBE level of DFT.

POSCAR file:
```
In2TcCl
1.0
5.690 0.002 0.006
2.098 5.289 -0.006
-3.143 -3.751 2.903
Cl In Tc
1 2 1
direct
0.250 0.750 0.500 Cl
0.985 0.985 0.000 In
0.515 0.515 0.000 In
0.750 0.250 0.500 Tc
```

Values from the calculation:
As for the space group: No. 71. The relative energy among the computed polymorphs comes out at 504 meV/atom. The energy relative to the elements, uncorrected comes out at 1.8 eV/f.u.


> relative energy among the computed polymorphs of number 2 (In2TcCl)?

504 meV/atom